[1]
CaMgZn2: PBEsol geometry, meta-GGA SCAN.

Properties
formation energy	-0.2077	eV per atom
size of the total moment	0.0	Bohr magnetons per cell
E	-10.6246	eV/atom
crystal system	tetragonal

```
data_CaMgZn2
_chemical_formula_sum 'Ca1 Mg1 Zn2'
_space_group_name_H-M_alt 'P 1'
_space_group_IT_number 1
_cell_length_a 3.406
_cell_length_b 3.406
_cell_length_c 7.001
_cell_angle_alpha 90.00
_cell_angle_beta 90.00
_cell_angle_gamma 90.00
loop_
_space_group_symop_operation_xyz
'x,y,z'
loop_
_atom_site_label
_atom_site_fract_x
_atom_site_fract_y
_atom_site_fract_z
Mg1 0.500 0.500 0.500
Ca1 0.500 0.500 0.000
Zn1 0.000 0.000 0.714
Zn2 0.000 0.000 0.286
```

=====

[2]
CaMg4Zn2: PBEsol geometry, meta-GGA SCAN.

Properties
formation energy	-0.0429	eV per atom
energy relative to the lowest polymorph listed for this composition	81.7	meV per atom
size of the total moment	0.0	Bohr magnetons per cell
E	-8.1270	eV/atom
crystal system	tetragonal

```
data_CaMg4Zn2
_chemical_formula_sum 'Ca1 Mg4 Zn2'
_space_group_name_H-M_alt 'P 1'
_space_group_IT_number 1
_cell_length_a 5.559
_cell_length_b 5.858
_cell_length_c 5.858
_cell_angle_alpha 76.99
_cell_angle_beta 61.68
_cell_angle_gamma 61.68
loop_
_space_group_symop_operation_xyz
'x,y,z'
loop_
_atom_site_label
_atom_site_fract_x
_atom_site_fract_y
_atom_site_fract_z
Ca1 0.000 0.000 0.000
Mg1 0.697 0.607 0.000
Mg2 0.303 0.393 0.000
Mg3 0.303 0.000 0.393
Mg4 0.697 0.000 0.607
Zn1 0.250 0.500 0.500
Zn2 0.750 0.500 0.500
```

=====

[3]
Ca2MgZn3: PBEsol geometry, meta-GGA SCAN.

Properties
formation energy	-0.2555	eV per atom
energy relative to the lowest polymorph listed for this composition	0.0	meV per atom
size of the total moment	0.0	Bohr magnetons per cell
E	-11.0632	eV/atom
crystal system	trigonal

```
data_Ca2MgZn3
_chemical_formula_sum 'Ca2 Mg1 Zn3'
_space_group_name_H-M_alt 'P 1'
_space_group_IT_number 1
_cell_length_a 5.613
_cell_length_b 5.613
_cell_length_c 5.613
_cell_angle_alpha 60.33
_cell_angle_beta 60.33
_cell_angle_gamma 60.33
loop_
_space_group_symop_operation_xyz
'x,y,z'
loop_
_atom_site_label
_atom_site_fract_x
_atom_site_fract_y
_atom_site_fract_z
Mg1 0.500 0.500 0.500
Zn1 0.000 0.500 0.500
Zn2 0.500 0.500 0.000
Zn3 0.500 0.000 0.500
Ca1 0.878 0.878 0.878
Ca2 0.122 0.122 0.122
```

=====

[4]
Ca4MgZn: PBEsol geometry, meta-GGA SCAN.

Properties
formation energy	-0.0265	eV per atom
size of the total moment	0.3	Bohr magnetons per cell
E	-9.5503	eV/atom
crystal system	orthorhombic

```
data_Ca4MgZn
_chemical_formula_sum 'Ca8 Mg2 Zn2'
_space_group_name_H-M_alt 'P 1'
_space_group_IT_number 1
_cell_length_a 3.810
_cell_length_b 9.449
_cell_length_c 10.665
_cell_angle_alpha 90.00
_cell_angle_beta 90.00
_cell_angle_gamma 90.00
loop_
_space_group_symop_operation_xyz
'x,y,z'
loop_
_atom_site_label
_atom_site_fract_x
_atom_site_fract_y
_atom_site_fract_z
Ca1 0.500 0.328 0.073
Ca2 0.500 0.328 0.427
Ca3 0.500 0.672 0.927
Ca4 0.500 0.672 0.573
Ca5 0.500 0.868 0.250
Ca6 0.500 0.132 0.750
Ca7 0.000 0.000 0.000
Ca8 0.000 0.000 0.500
Mg1 0.000 0.569 0.250
Mg2 0.000 0.431 0.750
Zn1 0.000 0.150 0.250
Zn2 0.000 0.850 0.750
```

=====

[5]
Ca2MgZn2: PBEsol geometry, meta-GGA SCAN.

Properties
formation energy	-0.2620	eV per atom
size of the total moment	0.0	Bohr magnetons per cell
E	-10.5282	eV/atom
crystal system	monoclinic

```
data_Ca2MgZn2
_chemical_formula_sum 'Ca4 Mg2 Zn4'
_space_group_name_H-M_alt 'P 1'
_space_group_IT_number 1
_cell_length_a 5.902
_cell_length_b 5.906
_cell_length_c 8.328
_cell_angle_alpha 101.77
_cell_angle_beta 90.00
_cell_angle_gamma 119.98
loop_
_space_group_symop_operation_xyz
'x,y,z'
loop_
_atom_site_label
_atom_site_fract_x
_atom_site_fract_y
_atom_site_fract_z
Ca1 0.502 0.295 0.647
Ca2 0.207 0.705 0.853
Ca3 0.498 0.705 0.353
Ca4 0.793 0.295 0.147
Mg1 0.859 0.000 0.750
Mg2 0.141 0.000 0.250
Zn1 0.710 0.716 0.001
Zn2 0.994 0.284 0.499
Zn3 0.290 0.284 0.999
Zn4 0.006 0.716 0.501
```

=====

[6]
Ca2MgZn3: PBEsol geometry, meta-GGA SCAN.

Properties
formation energy	-0.2211	eV per atom
energy relative to the lowest polymorph listed for this composition	34.4	meV per atom
size of the total moment	0.0	Bohr magnetons per cell
E	-11.0288	eV/atom
crystal system	hexagonal

```
data_Ca2MgZn3
_chemical_formula_sum 'Ca4 Mg2 Zn6'
_space_group_name_H-M_alt 'P 1'
_space_group_IT_number 1
_cell_length_a 4.945
_cell_length_b 4.945
_cell_length_c 12.351
_cell_angle_alpha 90.00
_cell_angle_beta 90.00
_cell_angle_gamma 120.00
loop_
_space_group_symop_operation_xyz
'x,y,z'
loop_
_atom_site_label
_atom_site_fract_x
_atom_site_fract_y
_atom_site_fract_z
Ca1 0.333 0.667 0.405
Ca2 0.667 0.333 0.905
Ca3 0.667 0.333 0.595
Ca4 0.333 0.667 0.095
Mg1 0.000 0.000 0.750
Mg2 0.000 0.000 0.250
Zn1 0.333 0.667 0.847
Zn2 0.667 0.333 0.347
Zn3 0.667 0.333 0.153
Zn4 0.333 0.667 0.653
Zn5 0.000 0.000 0.000
Zn6 0.000 0.000 0.500
```

=====

[7]
CaMg3Zr: PBEsol geometry, meta-GGA SCAN.

Properties
formation energy	1.2570	eV per atom
size of the total moment	0.0	Bohr magnetons per cell
E	-9.7997	eV/atom
crystal system	cubic

```
data_CaMg3Zr
_chemical_formula_sum 'Ca1 Mg3 Zr1'
_space_group_name_H-M_alt 'P 1'
_space_group_IT_number 1
_cell_length_a 5.162
_cell_length_b 5.162
_cell_length_c 5.162
_cell_angle_alpha 90.00
_cell_angle_beta 90.00
_cell_angle_gamma 90.00
loop_
_space_group_symop_operation_xyz
'x,y,z'
loop_
_atom_site_label
_atom_site_fract_x
_atom_site_fract_y
_atom_site_fract_z
Ca1 0.000 0.000 0.000
Mg1 0.000 0.500 0.000
Mg2 0.000 0.000 0.500
Mg3 0.500 0.000 0.000
Zr1 0.500 0.500 0.500
```

=====

[8]
CaMn2: PBEsol geometry, meta-GGA SCAN.

Properties
formation energy	0.2949	eV per atom
size of the total moment	0.9	Bohr magnetons per cell
E	-15.0963	eV/atom
crystal system	orthorhombic

```
data_CaMn2
_chemical_formula_sum 'Ca2 Mn4'
_space_group_name_H-M_alt 'P 1'
_space_group_IT_number 1
_cell_length_a 3.784
_cell_length_b 3.918
_cell_length_c 8.338
_cell_angle_alpha 90.00
_cell_angle_beta 103.11
_cell_angle_gamma 90.00
loop_
_space_group_symop_operation_xyz
'x,y,z'
loop_
_atom_site_label
_atom_site_fract_x
_atom_site_fract_y
_atom_site_fract_z
Ca1 0.601 0.250 0.201
Ca2 0.399 0.750 0.799
Mn1 0.814 0.250 0.629
Mn2 0.186 0.750 0.371
Mn3 0.249 0.250 0.498
Mn4 0.751 0.750 0.502
```

=====

[9]
CaMn: PBEsol geometry, meta-GGA SCAN.

Properties
formation energy	0.2596	eV per atom
size of the total moment	9.2	Bohr magnetons per cell
E	-13.6997	eV/atom
crystal system	cubic

```
data_CaMn
_chemical_formula_sum 'Ca2 Mn2'
_space_group_name_H-M_alt 'P 1'
_space_group_IT_number 1
_cell_length_a 5.058
_cell_length_b 5.058
_cell_length_c 5.053
_cell_angle_alpha 59.97
_cell_angle_beta 59.97
_cell_angle_gamma 60.00
loop_
_space_group_symop_operation_xyz
'x,y,z'
loop_
_atom_site_label
_atom_site_fract_x
_atom_site_fract_y
_atom_site_fract_z
Ca1 0.625 0.625 0.125
Ca2 0.375 0.375 0.875
Mn1 0.875 0.875 0.374
Mn2 0.125 0.125 0.626
```

=====

[10]
CaMn3: PBEsol geometry, meta-GGA SCAN.

Properties
formation energy	0.4509	eV per atom
size of the total moment	3.5	Bohr magnetons per cell
E	-15.6563	eV/atom
crystal system	tetragonal

```
data_CaMn3
_chemical_formula_sum 'Ca1 Mn3'
_space_group_name_H-M_alt 'P 1'
_space_group_IT_number 1
_cell_length_a 2.915
_cell_length_b 2.915
_cell_length_c 6.806
_cell_angle_alpha 90.00
_cell_angle_beta 90.00
_cell_angle_gamma 90.00
loop_
_space_group_symop_operation_xyz
'x,y,z'
loop_
_atom_site_label
_atom_site_fract_x
_atom_site_fract_y
_atom_site_fract_z
Ca1 0.000 0.000 0.000
Mn1 0.500 0.500 0.665
Mn2 0.000 0.000 0.500
Mn3 0.500 0.500 0.335
```

=====

[11]
CaMn28: PBEsol geometry, meta-GGA SCAN.

Properties
formation energy	0.0622	eV per atom
size of the total moment	0.2	Bohr magnetons per cell
E	-17.8967	eV/atom
crystal system	cubic

```
data_CaMn28
_chemical_formula_sum 'Ca1 Mn28'
_space_group_name_H-M_alt 'P 1'
_space_group_IT_number 1
_cell_length_a 7.439
_cell_length_b 7.439
_cell_length_c 7.439
_cell_angle_alpha 109.47
_cell_angle_beta 109.47
_cell_angle_gamma 109.47
loop_
_space_group_symop_operation_xyz
'x,y,z'
loop_
_atom_site_label
_atom_site_fract_x
_atom_site_fract_y
_atom_site_fract_z
Ca1 0.000 0.000 0.000
Mn1 0.374 0.374 0.374
Mn2 0.000 0.000 0.626
Mn3 0.000 0.626 0.000
Mn4 0.626 0.000 0.000
Mn5 0.608 0.608 0.287
Mn6 0.287 0.608 0.608
Mn7 0.608 0.287 0.608
Mn8 0.322 0.322 0.713
Mn9 0.000 0.678 0.392
Mn10 0.678 0.000 0.392
Mn11 0.678 0.392 0.000
Mn12 0.000 0.392 0.678
Mn13 0.322 0.713 0.322
Mn14 0.392 0.678 0.000
Mn15 0.713 0.322 0.322
Mn16 0.392 0.000 0.678
Mn17 0.620 0.620 0.820
Mn18 0.820 0.620 0.620
Mn19 0.620 0.820 0.620
Mn20 0.800 0.800 0.180
Mn21 0.000 0.200 0.380
Mn22 0.200 0.000 0.380
Mn23 0.200 0.380 0.000
Mn24 0.000 0.380 0.200
Mn25 0.800 0.180 0.800
Mn26 0.380 0.200 0.000
Mn27 0.180 0.800 0.800
Mn28 0.380 0.000 0.200
```

=====

[12]
Ca3Mn: PBEsol geometry, meta-GGA SCAN.

Properties
formation energy	0.2774	eV per atom
size of the total moment	4.6	Bohr magnetons per cell
E	-11.5340	eV/atom
crystal system	trigonal

```
data_Ca3Mn
_chemical_formula_sum 'Ca3 Mn1'
_space_group_name_H-M_alt 'P 1'
_space_group_IT_number 1
_cell_length_a 3.530
_cell_length_b 6.532
_cell_length_c 6.532
_cell_angle_alpha 116.83
_cell_angle_beta 100.38
_cell_angle_gamma 100.38
loop_
_space_group_symop_operation_xyz
'x,y,z'
loop_
_atom_site_label
_atom_site_fract_x
_atom_site_fract_y
_atom_site_fract_z
Ca1 0.500 0.500 0.500
Ca2 0.000 0.500 0.000
Ca3 0.000 0.000 0.500
Mn1 0.500 0.000 0.000
```